# CoSiSeBr2

An optimized crystal structure of CoSiSeBr2 (GGA-PBE, Alexandria).

POSCAR file:
```
CoSiSeBr2
1.0
4.821 0.000 0.000
0.000 4.821 0.000
0.000 0.000 4.800
Co Si Se Br
1 1 1 2
Cartesian
0.000 0.000 0.000 Co
2.411 2.411 2.400 Si
0.000 0.000 2.400 Se
0.000 2.411 0.000 Br
2.411 0.000 0.000 Br
```

For the offset from the most stable computed form, the calculation gives 0.000 eV per atom. The total magnetic moment is 1.00 μB per cell. Its energy relative to the elements, uncorrected is 2.15 eV/f.u. The symmetry is P4/mmm. The density of states at the Fermi level is 1.18 states/eV per atom.

---

# CoSiSeBr2

An optimized crystal structure of CoSiSeBr2 (GGA-PBE, Alexandria).

POSCAR file:
```
CoSiSeBr2
1.0
5.013 0.000 0.000
0.000 5.013 0.000
0.000 0.000 5.027
Co Si Se Br
1 1 1 2
Cartesian
0.000 0.000 0.000 Co
2.507 2.507 2.514 Si
2.507 2.507 0.000 Se
0.000 2.507 2.514 Br
2.507 0.000 2.514 Br
```

For the offset from the most stable computed form, the calculation gives 0.198 eV per atom. The total magnetic moment is 2.41 μB per cell. Its energy relative to the elements, uncorrected is 3.14 eV/f.u. The symmetry is P4/mmm. The density of states at the Fermi level is 1.96 states/eV per atom.

---

# Sm6Co2SeBr3

An optimized crystal structure of Sm6Co2SeBr3 (GGA-PBE, Alexandria).

POSCAR file:
```
Sm6Co2SeBr3
1.0
9.416 -2.015 0.000
9.416 2.015 0.000
-2.837 0.000 8.566
Sm Co Se Br
6 2 1 3
Cartesian
-0.219 0.000 2.126 Sm
4.752 0.000 3.798 Sm
3.813 0.000 7.385 Sm
12.182 0.000 1.181 Sm
11.243 0.000 4.768 Sm
16.214 0.000 6.440 Sm
2.224 0.000 2.901 Co
13.770 0.000 5.665 Co
9.416 0.000 0.000 Se
0.598 0.000 7.184 Br
7.997 0.000 4.283 Br
15.397 0.000 1.381 Br
```

The total magnetic moment is 0.00 μB per cell. Its energy relative to the elements, uncorrected is -11.71 eV/f.u. The symmetry is C2/m. The density of states at the Fermi level is 0.77 states/eV per atom.

---

# CoSnSeBr2

An optimized crystal structure of CoSnSeBr2 (GGA-PBE, Alexandria).

POSCAR file:
```
CoSnSeBr2
1.0
4.892 0.000 0.000
0.000 4.892 0.000
0.000 0.000 4.976
Co Sn Se Br
1 1 1 2
Cartesian
0.000 0.000 0.000 Co
2.446 2.446 2.488 Sn
0.000 0.000 2.488 Se
0.000 2.446 0.000 Br
2.446 0.000 0.000 Br
```

For the offset from the most stable computed form, the calculation gives 0.000 eV per atom. The total magnetic moment is 1.67 μB per cell. Its energy relative to the elements, uncorrected is -0.24 eV/f.u. The symmetry is P4/mmm. The density of states at the Fermi level is 1.06 states/eV per atom.

---

# SrCoSe2Br

An optimized crystal structure of SrCoSe2Br (GGA-PBE, Alexandria).

POSCAR file:
```
SrCoSe2Br
1.0
5.857 0.000 0.000
0.000 5.857 0.000
0.000 0.000 5.736
Sr Co Se Br
1 1 2 1
Cartesian
0.000 0.000 0.000 Sr
2.929 2.929 2.868 Co
0.000 2.929 0.000 Se
2.929 0.000 0.000 Se
0.000 0.000 2.868 Br
```

For the offset from the most stable computed form, the calculation gives 1.192 eV per atom. The total magnetic moment is 3.96 μB per cell. Its energy relative to the elements, uncorrected is 2.19 eV/f.u. The symmetry is P4/mmm. The density of states at the Fermi level is 1.73 states/eV per atom.

---

# SrCoSe2Br

An optimized crystal structure of SrCoSe2Br (GGA-PBE, Alexandria).

POSCAR file:
```
SrCoSe2Br
1.0
4.788 0.000 0.000
0.000 4.788 0.000
0.000 0.000 5.231
Sr Co Se Br
1 1 2 1
Cartesian
0.000 0.000 0.000 Sr
2.394 2.394 2.616 Co
0.000 2.394 2.616 Se
2.394 0.000 2.616 Se
2.394 2.394 0.000 Br
```

For the offset from the most stable computed form, the calculation gives 0.000 eV per atom. The total magnetic moment is 1.90 μB per cell. Its energy relative to the elements, uncorrected is -3.77 eV/f.u. The symmetry is P4/mmm. The density of states at the Fermi level is 0.95 states/eV per atom.

---

Look up the energy relative to the elements, uncorrected of the first one.
2.15 eV/f.u.